Crystalline Ba2ScUSe6 at its relaxed geometry. Source: Alexandria, functional PBE.

POSCAR file:
```
Ba2ScUSe6
1.0
7.382 0.000 0.000
0.000 7.657 0.000
-7.347 0.000 10.622
Ba Sc U Se
4 2 2 12
Direct
0.231 0.065 0.249
0.231 0.435 0.749
0.769 0.565 0.251
0.769 0.935 0.751
0.000 0.000 0.500
0.000 0.500 0.000
0.500 0.000 0.000
0.500 0.500 0.500
0.163 0.206 0.961
0.163 0.294 0.461
0.257 0.703 0.961
0.257 0.797 0.461
0.323 0.009 0.748
0.323 0.491 0.248
0.677 0.509 0.752
0.677 0.991 0.252
0.743 0.203 0.539
0.743 0.297 0.039
0.837 0.706 0.539
0.837 0.794 0.039
```

Values from the calculation:
E_form (uncorrected), eV/atom: -1.669
Volume, Å³/cell: 600.3
Magnetic moment, μB per formula unit: 1.00